A relaxed Be2SiAu crystal, computed with PBE-GGA.

As for the theoretical density: 8.046 Mg/m³. The space-group type is No. 139. The value obtained for the uncorrected formation energy is 0.2078 eV per atom. The crystal system is tetragonal.

Cell and atoms, written as extended XYZ:
```
8
Lattice="3.757 0.000 0.000 0.000 3.757 0.000 0.000 0.000 7.110" Properties=species:S:1:pos:R:3 pbc="T T T"
Be 0.000 1.878 1.778
Be 0.000 1.878 5.333
Be 1.878 0.000 1.778
Be 1.878 0.000 5.333
Si 0.000 0.000 0.000
Si 1.878 1.878 3.555
Au 0.000 0.000 3.555
Au 1.878 1.878 0.000
```

---

A relaxed Tm3ScSn2C crystal, computed with PBE-GGA.

As for the theoretical density: 7.968 Mg/m³. The space-group type is No. 71. The crystal system is orthorhombic. The formation energy from the elements comes out at -70.8 kJ/mol of atoms.

Cell and atoms, written as extended XYZ:
```
14
Lattice="4.541 0.000 0.000 0.000 4.695 0.000 0.000 0.000 15.664" Properties=species:S:1:pos:R:3 pbc="T T T"
Tm 0.000 0.000 0.000
Tm 0.000 2.348 2.468
Tm 0.000 2.348 13.195
Tm 2.270 0.000 5.363
Tm 2.270 0.000 10.300
Tm 2.270 2.348 7.832
Sc 0.000 0.000 7.832
Sc 2.270 2.348 0.000
Sn 0.000 2.348 5.637
Sn 0.000 2.348 10.027
Sn 2.270 0.000 2.195
Sn 2.270 0.000 13.469
C 0.000 2.348 0.000
C 2.270 0.000 7.832
```

---

A relaxed KMgPaTe3 crystal, computed with PBE-GGA.

As for the theoretical density: 5.160 Mg/m³. The space-group type is No. 11. The value obtained for the uncorrected formation energy is -0.8781 eV per atom. The crystal system is monoclinic.

Cell and atoms, written as extended XYZ:
```
12
Lattice="9.778 0.000 0.000 0.000 4.446 0.000 -3.716 0.000 10.027" Properties=species:S:1:pos:R:3 pbc="T T T"
K 1.023 1.111 2.390
K 5.038 3.334 7.637
Mg -1.400 1.111 6.127
Mg 7.461 3.334 3.900
Pa 0.245 3.334 8.860
Pa 5.816 1.111 1.167
Te -2.038 1.111 8.807
Te 0.137 3.334 5.407
Te 3.746 3.334 1.901
Te 2.316 1.111 8.126
Te 5.924 1.111 4.620
Te 8.099 3.334 1.219
```